## MgHgW2 (PBE)

Data for a relaxed MgHgW2 crystal.

## Properties
The formation energy comes out at 532 meV per atom. As for the symmetry: Pmm2 (25). Its relative energy among the computed polymorphs is 0.1817 eV per atom.

Cell: 2.7816 4.2865 6.0040 Å, 90.00 90.00 90.00°
Last column: nearest neighbours and their distance in Å.
Fractional coordinates of all 4 atoms:
Mg1 0.0000 0.0000 0.0000  2 Mg 2.78, 5 W 2.85-3.04, 4 Hg 2.90
Hg1 0.5000 0.5000 0.7709  2 Hg 2.78, 4 Mg 2.90, 6 W 2.98-3.11
W1 0.0000 0.0000 0.4741  6 W 2.78-2.82, 1 Mg 2.85, 4 Hg 3.11
W2 0.5000 0.5000 0.2750  6 W 2.78-2.82, 2 Hg 2.98-3.03, 4 Mg 3.04